# 1
{
  "formula": "Mg2ReIr",
  "functional": "GGA-PBEsol",
  "state": "relaxed",
  "lattice": [[2.8766, 0.0000, 0.0000], [0.0000, 3.6277, 0.0000], [0.0000, 0.0000, 6.1261]],
  "species": ["Mg", "Mg", "Re", "Ir"],
  "frac_coords": [[0.0000, 0.0000, 0.0000], [0.5000, 0.5000, 0.2810], [0.0000, 0.0000, 0.5406], [0.5000, 0.5000, 0.7455]],
  "sg": "No. 25",
  "polymorph_energy_mev_per_atom": 0,
  "delta_e_f_ev_per_atom": 0.074
}


# 2
{
  "formula": "MgTlIn2",
  "functional": "GGA-PBEsol",
  "state": "relaxed",
  "lattice": [[-1.8598, 2.6319, 5.1322], [1.8598, -2.6319, 5.1322], [1.8598, 2.6319, -5.1322]],
  "species": ["Mg", "Tl", "In", "In"],
  "frac_coords": [[0.0000, 0.0000, 0.0000], [0.2470, 0.7470, 0.5000], [0.5052, 0.5052, 0.0000], [0.7569, 0.2569, 0.5000]],
  "sg": "No. 44",
  "delta_e_f_ev_per_atom": -0.012
}


# 3
{
  "formula": "Hf3BeOs",
  "functional": "GGA-PBEsol",
  "state": "relaxed",
  "lattice": [[4.9277, 0.0000, 0.0000], [0.0000, 4.9277, 0.0000], [0.0000, 0.0000, 4.9277]],
  "species": ["Hf", "Hf", "Hf", "Be", "Os"],
  "frac_coords": [[0.0000, 0.0000, 0.5000], [0.0000, 0.5000, 0.0000], [0.5000, 0.0000, 0.0000], [0.5000, 0.5000, 0.5000], [0.0000, 0.0000, 0.0000]],
  "sg": "No. 221",
  "delta_e_f_ev_per_atom": 0.858
}


# 4
{
  "formula": "Ag3Os",
  "functional": "GGA-PBEsol",
  "state": "relaxed",
  "lattice": [[2.8544, -4.1534, 0.0000], [2.8544, 4.1534, 0.0000], [0.0000, 0.0000, 2.6438]],
  "species": ["Ag", "Ag", "Ag", "Os"],
  "frac_coords": [[0.0000, 0.0000, 0.0000], [0.0000, 0.5000, 0.5000], [0.5000, 0.0000, 0.5000], [0.5000, 0.5000, 0.0000]],
  "sg": "No. 65",
  "polymorph_energy_mev_per_atom": 0,
  "delta_e_f_ev_per_atom": 0.503
}


# 5
{
  "formula": "Sr5In3",
  "functional": "GGA-PBEsol",
  "state": "relaxed",
  "lattice": [[-4.3133, 4.3133, 8.1099], [4.3133, -4.3133, 8.1099], [4.3133, 4.3133, -8.1099]],
  "species": ["Sr", "Sr", "Sr", "Sr", "Sr", "Sr", "Sr", "Sr", "Sr", "Sr", "In", "In", "In", "In", "In", "In"],
  "frac_coords": [[0.0000, 0.0000, 0.0000], [0.0293, 0.5293, 0.8508], [0.1785, 0.0293, 0.5000], [0.3215, 0.8215, 0.8508], [0.4707, 0.3215, 0.5000], [0.5000, 0.5000, 0.0000], [0.5293, 0.6785, 0.5000], [0.6785, 0.1785, 0.1492], [0.8215, 0.9707, 0.5000], [0.9707, 0.4707, 0.1492], [0.1158, 0.3842, 0.5000], [0.2500, 0.2500, 0.0000], [0.3842, 0.8842, 0.2684], [0.6158, 0.1158, 0.7316], [0.7500, 0.7500, 0.0000], [0.8842, 0.6158, 0.5000]],
  "sg": "No. 140",
  "polymorph_energy_mev_per_atom": 0,
  "delta_e_f_ev_per_atom": -0.359
}


# 6
{
  "formula": "Zn2FeRh",
  "functional": "GGA-PBEsol",
  "state": "relaxed",
  "lattice": [[0.0000, 2.9490, 2.9490], [2.9490, 0.0000, 2.9490], [2.9490, 2.9490, 0.0000]],
  "species": ["Zn", "Zn", "Fe", "Rh"],
  "frac_coords": [[0.0000, 0.0000, 0.0000], [0.2500, 0.2500, 0.2500], [0.7500, 0.7500, 0.7500], [0.5000, 0.5000, 0.5000]],
  "sg": "No. 216",
  "delta_e_f_ev_per_atom": -0.111
}


# 7
{
  "formula": "BaB3S",
  "functional": "GGA-PBEsol",
  "state": "relaxed",
  "lattice": [[5.0458, 0.0000, 0.0000], [0.0000, 5.0458, 0.0000], [0.0000, 0.0000, 5.0458]],
  "species": ["Ba", "B", "B", "B", "S"],
  "frac_coords": [[0.0000, 0.0000, 0.0000], [0.0000, 0.0000, 0.5000], [0.0000, 0.5000, 0.0000], [0.5000, 0.0000, 0.0000], [0.5000, 0.5000, 0.5000]],
  "sg": "No. 221",
  "raw_formation_energy_ev_per_fu": 15.364
}


# 8
{
  "formula": "GaNiOF2",
  "functional": "GGA-PBEsol",
  "state": "relaxed",
  "lattice": [[3.8847, 0.0000, 0.0000], [0.0000, 3.8847, 0.0000], [0.0000, 0.0000, 3.6888]],
  "species": ["Ga", "Ni", "O", "F", "F"],
  "frac_coords": [[0.0000, 0.0000, 0.0000], [0.5000, 0.5000, 0.5000], [0.0000, 0.0000, 0.5000], [0.0000, 0.5000, 0.0000], [0.5000, 0.0000, 0.0000]],
  "sg": "No. 123",
  "raw_formation_energy_ev_per_fu": -5.753
}


# 9
{
  "formula": "In4SiRh",
  "functional": "GGA-PBEsol",
  "state": "relaxed",
  "lattice": [[0.0000, 4.0235, 4.0235], [4.0235, 0.0000, 4.0235], [4.0235, 4.0235, 0.0000]],
  "species": ["In", "In", "In", "In", "Si", "Rh"],
  "frac_coords": [[0.1248, 0.1248, 0.1248], [0.1248, 0.1248, 0.6256], [0.1248, 0.6256, 0.1248], [0.6256, 0.1248, 0.1248], [0.5000, 0.5000, 0.5000], [0.7500, 0.7500, 0.7500]],
  "sg": "No. 216",
  "raw_formation_energy_ev_per_fu": 3.864
}


# 10
{
  "formula": "MgCuOsBr2",
  "functional": "GGA-PBEsol",
  "state": "relaxed",
  "lattice": [[4.8302, 0.0000, 0.0000], [0.0000, 4.8302, 0.0000], [0.0000, 0.0000, 5.2730]],
  "species": ["Mg", "Cu", "Os", "Br", "Br"],
  "frac_coords": [[0.0000, 0.0000, 0.0000], [0.5000, 0.5000, 0.0000], [0.0000, 0.0000, 0.5000], [0.0000, 0.5000, 0.5000], [0.5000, 0.0000, 0.5000]],
  "sg": "No. 123",
  "raw_formation_energy_ev_per_fu": 4.818
}


# 11
{
  "formula": "BaMoNF2",
  "functional": "GGA-PBEsol",
  "state": "relaxed",
  "lattice": [[4.2921, 0.0000, 0.0000], [0.0000, 4.2921, 0.0000], [0.0000, 0.0000, 3.9569]],
  "species": ["Ba", "Mo", "N", "F", "F"],
  "frac_coords": [[0.0000, 0.0000, 0.0000], [0.5000, 0.5000, 0.5000], [0.5000, 0.5000, 0.0000], [0.0000, 0.5000, 0.5000], [0.5000, 0.0000, 0.5000]],
  "sg": "No. 123",
  "raw_formation_energy_ev_per_fu": -8.458
}


# 12
{
  "formula": "KMnBr2",
  "functional": "GGA-PBEsol",
  "state": "relaxed",
  "lattice": [[-1.9349, 3.2640, 4.4849], [1.9349, -3.2640, 4.4849], [1.9349, 3.2640, -4.4849]],
  "species": ["K", "Mn", "Br", "Br"],
  "frac_coords": [[0.0000, 0.0000, 0.0000], [0.5000, 0.5000, 0.0000], [0.3100, 0.8100, 0.5000], [0.6900, 0.1900, 0.5000]],
  "sg": "No. 71",
  "polymorph_energy_mev_per_atom": 71,
  "raw_formation_energy_ev_per_fu": -2.369
}


# 13
{
  "formula": "Mo2PbSe2O11",
  "functional": "GGA-PBEsol",
  "state": "relaxed",
  "lattice": [[7.8485, 0.0000, 0.0000], [3.2439, 7.4905, 0.0000], [3.5544, -0.4481, 8.0875]],
  "species": ["Mo", "Mo", "Mo", "Mo", "Pb", "Pb", "Se", "Se", "Se", "Se", "O", "O", "O", "O", "O", "O", "O", "O", "O", "O", "O", "O", "O", "O", "O", "O", "O", "O", "O", "O", "O", "O"],
  "frac_coords": [[0.2208, 0.4672, 0.0499], [0.2244, 0.8751, 0.8099], [0.7756, 0.1249, 0.1901], [0.7792, 0.5328, 0.9501], [0.0767, 0.7241, 0.4752], [0.9233, 0.2759, 0.5248], [0.2574, 0.0514, 0.1465], [0.2628, 0.2687, 0.6894], [0.7372, 0.7313, 0.3106], [0.7426, 0.9486, 0.8535], [0.0968, 0.0208, 0.0671], [0.1015, 0.4072, 0.8723], [0.1217, 0.2822, 0.1935], [0.1334, 0.1284, 0.7217], [0.1736, 0.9879, 0.3416], [0.1834, 0.3910, 0.5472], [0.2300, 0.6696, 0.9271], [0.2625, 0.5288, 0.2062], [0.2753, 0.7829, 0.6238], [0.4418, 0.3012, 0.9317], [0.4418, 0.8943, 0.7902], [0.5582, 0.1057, 0.2098], [0.5582, 0.6988, 0.0683], [0.7247, 0.2172, 0.3762], [0.7375, 0.4712, 0.7938], [0.7700, 0.3304, 0.0729], [0.8166, 0.6090, 0.4528], [0.8264, 0.0121, 0.6584], [0.8666, 0.8716, 0.2783], [0.8783, 0.7178, 0.8065], [0.8985, 0.5928, 0.1277], [0.9032, 0.9792, 0.9329]],
  "sg": "No. 2",
  "raw_formation_energy_ev_per_fu": -23.098
}


# 14
{
  "formula": "LiTl2Co",
  "functional": "GGA-PBEsol",
  "state": "relaxed",
  "lattice": [[-1.9394, 1.9394, 4.6240], [1.9394, -1.9394, 4.6240], [1.9394, 1.9394, -4.6240]],
  "species": ["Li", "Tl", "Tl", "Co"],
  "frac_coords": [[0.0000, 0.0000, 0.0000], [0.5000, 0.5000, 0.0000], [0.7500, 0.2500, 0.5000], [0.2500, 0.7500, 0.5000]],
  "sg": "No. 119",
  "delta_e_f_ev_per_atom": 0.253
}


# 15
{
  "formula": "BeSi2RuW",
  "functional": "GGA-PBEsol",
  "state": "relaxed",
  "lattice": [[4.4503, 0.0000, 0.0000], [0.0000, 4.4503, 0.0000], [0.0000, 0.0000, 3.9470]],
  "species": ["Be", "Si", "Si", "Ru", "W"],
  "frac_coords": [[0.0000, 0.0000, 0.0000], [0.0000, 0.5000, 0.5000], [0.5000, 0.0000, 0.5000], [0.0000, 0.0000, 0.5000], [0.5000, 0.5000, 0.0000]],
  "sg": "No. 123",
  "raw_formation_energy_ev_per_fu": 5.383
}


# 16
{
  "formula": "Ba2YCu",
  "functional": "GGA-PBEsol",
  "state": "relaxed",
  "lattice": [[0.0000, 4.1026, 4.1026], [4.1026, 0.0000, 4.1026], [4.1026, 4.1026, 0.0000]],
  "species": ["Ba", "Ba", "Y", "Cu"],
  "frac_coords": [[0.2500, 0.2500, 0.2500], [0.7500, 0.7500, 0.7500], [0.0000, 0.0000, 0.0000], [0.5000, 0.5000, 0.5000]],
  "sg": "No. 225",
  "delta_e_f_ev_per_atom": 0.516
}


# 17
{
  "formula": "Y2TaAs",
  "functional": "GGA-PBEsol",
  "state": "relaxed",
  "lattice": [[-1.8341, 2.3597, 5.1206], [1.8341, -2.3597, 5.1206], [1.8341, 2.3597, -5.1206]],
  "species": ["Y", "Y", "Ta", "As"],
  "frac_coords": [[0.0000, 0.0000, 0.0000], [0.7246, 0.2246, 0.5000], [0.4507, 0.4507, 0.0000], [0.2640, 0.7640, 0.5000]],
  "sg": "No. 44",
  "delta_e_f_ev_per_atom": -0.220
}


# 18
{
  "formula": "Zr3Si",
  "functional": "GGA-PBEsol",
  "state": "relaxed",
  "lattice": [[10.8898, 0.0000, 0.0000], [0.0000, 10.8898, 0.0000], [0.0000, 0.0000, 5.3707]],
  "species": ["Zr", "Zr", "Zr", "Zr", "Zr", "Zr", "Zr", "Zr", "Zr", "Zr", "Zr", "Zr", "Zr", "Zr", "Zr", "Zr", "Zr", "Zr", "Zr", "Zr", "Zr", "Zr", "Zr", "Zr", "Si", "Si", "Si", "Si", "Si", "Si", "Si", "Si"],
  "frac_coords": [[0.0339, 0.5701, 0.2417], [0.0701, 0.9661, 0.7417], [0.1115, 0.2236, 0.0279], [0.1426, 0.6679, 0.7171], [0.1679, 0.8574, 0.2171], [0.2236, 0.3885, 0.4721], [0.2764, 0.1115, 0.4721], [0.3321, 0.6426, 0.2171], [0.3574, 0.8321, 0.7171], [0.3885, 0.2764, 0.0279], [0.4299, 0.5339, 0.7417], [0.4661, 0.9299, 0.2417], [0.5339, 0.0701, 0.7583], [0.5701, 0.4661, 0.2583], [0.6115, 0.7236, 0.9721], [0.6426, 0.1679, 0.2829], [0.6679, 0.3574, 0.7829], [0.7236, 0.8885, 0.5279], [0.7764, 0.6115, 0.5279], [0.8321, 0.1426, 0.7829], [0.8574, 0.3321, 0.2829], [0.8885, 0.7764, 0.9721], [0.9299, 0.0339, 0.2583], [0.9661, 0.4299, 0.7583], [0.0445, 0.2087, 0.5372], [0.2087, 0.4555, 0.9628], [0.2913, 0.0445, 0.9628], [0.4555, 0.2913, 0.5372], [0.5445, 0.7087, 0.4628], [0.7087, 0.9555, 0.0372], [0.7913, 0.5445, 0.0372], [0.9555, 0.7913, 0.4628]],
  "sg": "No. 86",
  "raw_formation_energy_ev_per_fu": -2.425
}


# 19
{
  "formula": "SrNbTl2Ga",
  "functional": "GGA-PBEsol",
  "state": "relaxed",
  "lattice": [[5.1964, 0.0000, 0.0000], [0.0000, 5.1964, 0.0000], [0.0000, 0.0000, 5.6354]],
  "species": ["Sr", "Nb", "Tl", "Tl", "Ga"],
  "frac_coords": [[0.0000, 0.0000, 0.0000], [0.5000, 0.5000, 0.0000], [0.0000, 0.5000, 0.5000], [0.5000, 0.0000, 0.5000], [0.0000, 0.0000, 0.5000]],
  "sg": "No. 123",
  "delta_e_f_ev_per_atom": 0.967
}


# 20
{
  "formula": "Ba2AlTc",
  "functional": "GGA-PBEsol",
  "state": "relaxed",
  "lattice": [[3.5353, 0.0000, 0.0000], [0.0000, 4.3508, 0.0000], [0.0000, 0.0000, 7.5703]],
  "species": ["Ba", "Ba", "Al", "Tc"],
  "frac_coords": [[0.0000, 0.0000, 0.2351], [0.0000, 0.0000, 0.7649], [0.5000, 0.5000, 0.5000], [0.5000, 0.5000, 0.0000]],
  "sg": "No. 47",
  "delta_e_f_ev_per_atom": 0.800
}


# 21
{
  "formula": "SrMg3Tl",
  "functional": "GGA-PBEsol",
  "state": "relaxed",
  "lattice": [[6.2133, 0.0000, 0.0000], [0.0000, 6.2133, 0.0000], [0.0000, 0.0000, 6.2133]],
  "species": ["Sr", "Mg", "Mg", "Mg", "Tl"],
  "frac_coords": [[0.0000, 0.0000, 0.0000], [0.0000, 0.0000, 0.5000], [0.0000, 0.5000, 0.0000], [0.5000, 0.0000, 0.0000], [0.5000, 0.5000, 0.5000]],
  "sg": "No. 221",
  "delta_e_f_ev_per_atom": 0.967
}


# 22
{
  "formula": "CsLaRh2",
  "functional": "GGA-PBEsol",
  "state": "relaxed",
  "lattice": [[0.0000, 3.5854, 3.5854], [3.5854, 0.0000, 3.5854], [3.5854, 3.5854, 0.0000]],
  "species": ["Cs", "La", "Rh", "Rh"],
  "frac_coords": [[0.0000, 0.0000, 0.0000], [0.5000, 0.5000, 0.5000], [0.2500, 0.2500, 0.2500], [0.7500, 0.7500, 0.7500]],
  "sg": "No. 225",
  "delta_e_f_ev_per_atom": 0.457
}


# 23
{
  "formula": "ZnReN2",
  "functional": "GGA-PBEsol",
  "state": "relaxed",
  "lattice": [[1.4350, 0.8285, 6.2704], [-1.4350, 0.8285, 6.2704], [0.0000, -1.6570, 6.2704]],
  "species": ["Zn", "Re", "N", "N"],
  "frac_coords": [[0.0000, 0.0000, 0.0000], [0.5000, 0.5000, 0.5000], [0.1007, 0.1007, 0.1007], [0.8993, 0.8993, 0.8993]],
  "sg": "No. 166",
  "raw_formation_energy_ev_per_fu": 0.288
}


# 24
{
  "formula": "SiSb2Pt",
  "functional": "GGA-PBEsol",
  "state": "relaxed",
  "lattice": [[1.9495, 1.1255, 6.3683], [-1.9495, 1.1255, 6.3683], [0.0000, -2.2511, 6.3683]],
  "species": ["Si", "Sb", "Sb", "Pt"],
  "frac_coords": [[0.0000, 0.0000, 0.0000], [0.2462, 0.2462, 0.2462], [0.7538, 0.7538, 0.7538], [0.5000, 0.5000, 0.5000]],
  "sg": "No. 166",
  "raw_formation_energy_ev_per_fu": -0.229
}


# 25
{
  "formula": "SrCdSb2I",
  "functional": "GGA-PBEsol",
  "state": "relaxed",
  "lattice": [[6.1253, 0.0000, 0.0000], [0.0000, 6.1253, 0.0000], [0.0000, 0.0000, 6.0415]],
  "species": ["Sr", "Cd", "Sb", "Sb", "I"],
  "frac_coords": [[0.0000, 0.0000, 0.0000], [0.5000, 0.5000, 0.5000], [0.0000, 0.5000, 0.0000], [0.5000, 0.0000, 0.0000], [0.0000, 0.0000, 0.5000]],
  "sg": "No. 123",
  "raw_formation_energy_ev_per_fu": 2.322
}


# 26
{
  "formula": "PBr2",
  "functional": "GGA-PBEsol",
  "state": "relaxed",
  "lattice": [[6.4111, -1.9721, 0.0000], [6.4111, 1.9721, 0.0000], [-3.7121, 0.0000, 6.6965]],
  "species": ["P", "P", "Br", "Br", "Br", "Br"],
  "frac_coords": [[0.2312, 0.2312, 0.3975], [0.7688, 0.7688, 0.6025], [0.0366, 0.0366, 0.2829], [0.2636, 0.2636, 0.8269], [0.7364, 0.7364, 0.1731], [0.9634, 0.9634, 0.7171]],
  "sg": "No. 12",
  "raw_formation_energy_ev_per_fu": -0.269
}


Calculated spin magnetization, 0.00 0.00 0.00 0.00 0.00 3.02 0.00 1.09 0.00 0.60 0.00 4.02 0.00 0.31 1.80 0.00 0.00 0.00 3.61 1.82 0.00 0.00 0.00 0.00 1.50 0.00 μB/cell (same order as the records).